Record 1
This record from the Alexandria database describes LaMgCu3 after structural relaxation. The functional is GGA-PBE.

Output
Distance to the lowest polymorph of the same formula, meV/atom: 0
Space group: Pm-3m, No. 221
DFT formation energy, eV/atom: 0.2950

Unit cell a=4.7207 b=4.7207 c=4.7207 alpha=90.00 beta=90.00 gamma=90.00
Atoms (fractional coordinates):
1 Cu 0.0000 0.0000 0.5000
2 Cu 0.5000 0.0000 0.0000
3 Cu 0.0000 0.5000 0.0000
4 La 0.5000 0.5000 0.5000
5 Mg 0.0000 0.0000 0.0000

Record 2
This record from the Alexandria database describes La2MgCu2 after structural relaxation. The functional is GGA-PBE.

Output
Distance to the lowest polymorph of the same formula, meV/atom: 272
Space group: P4/mbm, No. 127
DFT formation energy, eV/atom: 0.0735

Unit cell a=8.6723 b=8.6723 c=3.3759 alpha=90.00 beta=90.00 gamma=90.00
Atoms (fractional coordinates):
1 Mg 0.0000 0.0000 0.0000
2 Mg 0.5000 0.5000 0.0000
3 Cu 0.1289 0.6289 0.5000
4 Cu 0.8711 0.3711 0.5000
5 Cu 0.6289 0.8711 0.5000
6 Cu 0.3711 0.1289 0.5000
7 La 0.6598 0.1598 0.0000
8 La 0.8402 0.6598 0.0000
9 La 0.3402 0.8402 0.0000
10 La 0.1598 0.3402 0.0000